DFT (PBE-GGA) results for crystalline CaYAg6 at its relaxed geometry.

Lattice parameters (Å, degrees): 5.505 5.505 5.505 90.00 90.00 90.00
Fractional positions:
1 Ca 0.000 0.000 0.000
2 Y 0.500 0.500 0.500
3 Ag 0.000 0.250 0.500
4 Ag 0.000 0.750 0.500
5 Ag 0.250 0.500 0.000
6 Ag 0.500 0.000 0.250
7 Ag 0.500 0.000 0.750
8 Ag 0.750 0.500 0.000

Properties
raw total energy = -3.3854 eV per atom
space-group type = Pm-3, No. 200
ΔE_f = -0.189 eV/atom
distance to the lowest polymorph of the same formula = 13.1 meV per atom

---

DFT (PBE-GGA) results for crystalline Pm8Sn3Ge2 at its relaxed geometry.

Lattice parameters (Å, degrees): 9.048 9.048 7.390 103.02 103.02 43.62
Fractional positions:
1 Pm 0.054 0.054 0.233
2 Pm 0.106 0.601 0.133
3 Pm 0.332 0.332 0.631
4 Pm 0.399 0.894 0.867
5 Pm 0.601 0.106 0.133
6 Pm 0.668 0.668 0.369
7 Pm 0.894 0.399 0.867
8 Pm 0.946 0.946 0.767
9 Sn 0.292 0.708 0.500
10 Sn 0.500 0.500 0.000
11 Sn 0.708 0.292 0.500
12 Ge 0.224 0.224 0.245
13 Ge 0.776 0.776 0.755

Properties
raw total energy = -4.9806 eV per atom
space-group type = C2/m, No. 12
ΔE_f = -0.423 eV/atom

---

DFT (PBE-GGA) results for crystalline HoTm2TeO8 at its relaxed geometry.

Lattice parameters (Å, degrees): 4.975 4.975 6.801 90.00 90.00 90.86
Fractional positions:
1 Ho 0.000 0.000 0.000
2 Tm 0.500 0.500 0.252
3 Tm 0.500 0.500 0.748
4 Te 0.000 0.000 0.500
5 O 0.185 0.815 0.286
6 O 0.185 0.815 0.714
7 O 0.279 0.279 0.500
8 O 0.311 0.311 0.000
9 O 0.689 0.689 0.000
10 O 0.721 0.721 0.500
11 O 0.815 0.185 0.286
12 O 0.815 0.185 0.714

Properties
raw total energy = -7.2515 eV per atom
space-group type = Cmmm, No. 65
formation energy (no corrections) = -58.98 kcal/mol of atoms

---

DFT (PBE-GGA) results for crystalline SrBe3Rh at its relaxed geometry.

Lattice parameters (Å, degrees): 4.715 4.715 4.715 90.00 90.00 90.00
Fractional positions:
1 Sr 0.000 0.000 0.000
2 Be 0.000 0.000 0.500
3 Be 0.000 0.500 0.000
4 Be 0.500 0.000 0.000
5 Rh 0.500 0.500 0.500

Properties
raw total energy = -1.4979 eV per atom
space-group type = Pm-3m, No. 221
ΔE_f = 2.544 eV/atom
distance to the lowest polymorph of the same formula = 2640.7 meV per atom